# 1
Here is a relaxed structure of K5Eu3H12 from Alexandria. Energies are from PBE.

a = 14.4294 Å, b = 14.4294 Å, c = 14.4294 Å
α = 90.00°, β = 90.00°, γ = 90.00°
Space group Ia-3d (No. 230)
One atom of each set of equivalent atoms:
K 0.0000 0.0000 0.0000 [16 per cell]
K 0.0000 0.2500 0.3750 [24 per cell]
Eu 0.0000 0.2500 0.1250 [24 per cell]
H 0.0107 0.0835 0.6586 [96 per cell]

Computed properties:
As for the energy: -0.294 Ry per atom. Its total magnetization is 160.0 μB/cell.



# 2
Here is a relaxed structure of BaLa2Sb from Alexandria. Energies are from PBE.

a = 4.3860 Å, b = 5.3685 Å, c = 12.6681 Å
α = 90.00°, β = 90.00°, γ = 90.00°
Space group Imm2 (No. 44)
One atom of each set of equivalent atoms:
Ba 0.0000 0.0000 0.0000 [2 per cell]
La 0.0000 0.0000 0.5844 [2 per cell]
La 0.0000 0.5000 0.7915 [2 per cell]
Sb 0.0000 0.5000 0.2767 [2 per cell]

Computed properties:
The energy relative to the elements, uncorrected comes out at -40.0 kJ per mole of atoms. Its total magnetization is 0.0 μB/cell.



# 3
Here is a relaxed structure of NaInSn from Alexandria. Energies are from PBE.

a = 4.9376 Å, b = 12.7472 Å, c = 5.1315 Å
α = 90.00°, β = 90.00°, γ = 90.00°
Space group Cmcm (No. 63)
One atom of each set of equivalent atoms:
Na 0.0000 0.0811 0.2500 [4 per cell]
In 0.0000 0.2489 0.7500 [4 per cell]
Sn 0.0000 0.4020 0.2500 [4 per cell]

Computed properties:
The calculation puts the formation enthalpy at 0 K at -0.118 eV per atom. Its total magnetization is 0.0 μB/cell.



# 4
Here is a relaxed structure of SnP4O12 from Alexandria. Energies are from PBE.

a = 15.7013 Å, b = 7.1811 Å, c = 9.0799 Å
α = 90.00°, β = 124.44°, γ = 90.00°
Space group C2/c (No. 15)
One atom of each set of equivalent atoms:
Sn 0.0000 0.2209 0.2500 [4 per cell]
P 0.1357 0.4774 0.1284 [8 per cell]
P 0.1397 0.1286 0.6824 [8 per cell]
O 0.0602 0.0368 0.6970 [8 per cell]
O 0.0645 0.4847 0.4322 [8 per cell]
O 0.1161 0.3109 0.2082 [8 per cell]
O 0.1267 0.1283 0.5029 [8 per cell]
O 0.1504 0.3423 0.7459 [8 per cell]
O 0.2490 0.4512 0.1694 [8 per cell]

Computed properties:
For the energy relative to the lowest polymorph listed for this composition, the calculation gives 32 meV per atom. The energy relative to the elements, uncorrected comes out at -189.0 kJ per mole of atoms. Its total magnetization is 0.0 μB/cell.



# 5
Here is a relaxed structure of Co2TeSe2 from Alexandria. Energies are from PBE.

a = 7.6598 Å, b = 4.5418 Å, c = 10.9605 Å
α = 90.00°, β = 90.00°, γ = 90.00°
Space group Pnma (No. 62)
One atom of each set of equivalent atoms:
Co 0.1150 0.2500 0.2331 [4 per cell]
Co 0.2295 0.2500 0.6265 [4 per cell]
Te 0.1735 0.7500 0.9100 [4 per cell]
Se 0.0138 0.7500 0.2323 [4 per cell]
Se 0.1245 0.7500 0.6092 [4 per cell]

Computed properties:
For the energy relative to the lowest polymorph listed for this composition, the calculation gives 0 meV per atom. The energy relative to the elements, uncorrected comes out at -4.0 kJ per mole of atoms. Its total magnetization is 0.0 μB/cell.



# 6
Here is a relaxed structure of Al2OsS2 from Alexandria. Energies are from PBE.

a = 6.8445 Å, b = 6.8445 Å, c = 3.4551 Å
α = 90.00°, β = 90.00°, γ = 90.00°
Space group P4/mbm (No. 127)
One atom of each set of equivalent atoms:
Al 0.1275 0.3725 0.0000 [4 per cell]
Os 0.0000 0.0000 0.0000 [2 per cell]
S 0.2165 0.7165 0.5000 [4 per cell]

Computed properties:
For the energy relative to the lowest polymorph listed for this composition, the calculation gives 144 meV per atom. The energy relative to the elements, uncorrected comes out at 33.1 kJ per mole of atoms. Its total magnetization is 0.0 μB/cell.



# 7
Here is a relaxed structure of HoTiOs2 from Alexandria. Energies are from PBE.

a = 3.1963 Å, b = 3.1963 Å, c = 6.6910 Å
α = 90.00°, β = 90.00°, γ = 90.00°
Space group P4/mmm (No. 123)
One atom of each set of equivalent atoms:
Ho 0.0000 0.0000 0.0000 [1 per cell]
Ti 0.0000 0.0000 0.5000 [1 per cell]
Os 0.5000 0.5000 0.2807 [2 per cell]

Computed properties:
The calculation puts the formation enthalpy at 0 K at -0.344 eV per atom. Its total magnetization is 0.0 μB/cell.



# 8
Here is a relaxed structure of RbDy2Te3 from Alexandria. Energies are from PBE.

a = 4.7250 Å, b = 16.8956 Å, c = 11.8481 Å
α = 90.00°, β = 90.00°, γ = 90.00°
Space group Cmcm (No. 63)
One atom of each set of equivalent atoms:
Rb 0.0000 0.2454 0.2500 [4 per cell]
Dy 0.0000 0.0329 0.7500 [4 per cell]
Dy 0.0000 0.5000 0.0000 [4 per cell]
Te 0.0000 0.1242 0.5415 [8 per cell]
Te 0.0000 0.4296 0.7500 [4 per cell]

Computed properties:
The energy relative to the elements, uncorrected comes out at -116.4 kJ per mole of atoms. Its total magnetization is 0.0 μB/cell.



# 9
Here is a relaxed structure of BeSi2O from Alexandria. Energies are from PBE.

a = 4.6537 Å, b = 4.6537 Å, c = 9.8968 Å
α = 90.00°, β = 90.00°, γ = 90.00°
Space group I-42d (No. 122)
One atom of each set of equivalent atoms:
Be 0.0000 0.0000 0.0000 [4 per cell]
Si 0.2247 0.2500 0.6250 [8 per cell]
O 0.0000 0.0000 0.5000 [4 per cell]

Computed properties:
For the energy relative to the lowest polymorph listed for this composition, the calculation gives 0 meV per atom. The energy relative to the elements, uncorrected comes out at -16.3 kJ per mole of atoms. Its total magnetization is 0.0 μB/cell.



# 10
Here is a relaxed structure of Tl6Sn2Hg3 from Alexandria. Energies are from PBE.

a = 3.5458 Å, b = 3.5458 Å, c = 88.8627 Å
α = 90.00°, β = 90.00°, γ = 120.00°
Space group R-3m (No. 166, hexagonal axes)
One atom of each set of equivalent atoms:
Tl 0.0000 0.0000 0.0893 [6 per cell]
Tl 0.0000 0.0000 0.1828 [6 per cell]
Tl 0.0000 0.0000 0.3630 [6 per cell]
Sn 0.0000 0.0000 0.4535 [6 per cell]
Hg 0.0000 0.0000 0.0000 [3 per cell]
Hg 0.0000 0.0000 0.2741 [6 per cell]

Computed properties:
The calculation puts the formation enthalpy at 0 K at 0.015 eV per atom. Its total magnetization is 0.0 μB/cell.